No. 1
Entry from Alexandria via LeMat-Bulk: La8Si3PdI4 after structural relaxation (PBE-GGA).

Calculated values
The calculation puts the density of states at the Fermi level at 0.7778 states/eV per atom. For the total energy, the calculation gives -5.1680 eV per atom. The raw formation energy is -15.6 eV per formula unit. The value obtained for the spin magnetization is 0.0 μB/f.u.

The structure in POSCAR format:
```
La8Si3PdI4
1.0
-1.056 7.266 4.947
1.269 -5.046 7.683
6.243 -0.214 -6.275
La Si Pd I
8 3 1 4
direct
0.235 0.703 0.967
0.236 0.703 0.471
0.266 0.297 0.531
0.732 0.703 0.967
0.268 0.297 0.033
0.734 0.703 0.469
0.764 0.297 0.529
0.765 0.297 0.033
0.500 0.500 0.000
0.500 0.500 0.500
0.000 0.500 0.500
0.000 0.500 0.000
0.500 0.000 0.000
0.500 0.000 0.500
0.000 0.000 0.000
0.000 0.000 0.500
```

---

No. 2
Entry from Alexandria via LeMat-Bulk: La6Si2PdI3 after structural relaxation (PBE-GGA).

Calculated values
The calculation puts the density of states at the Fermi level at 0.8474 states/eV per atom. For the total energy, the calculation gives -5.1575 eV per atom. The raw formation energy is -11.6 eV per formula unit. The value obtained for the spin magnetization is 0.0 μB/f.u.

The structure in POSCAR format:
```
La6Si2PdI3
1.0
4.351 0.000 0.000
0.000 9.425 0.108
-2.176 -2.943 9.601
La Si Pd I
6 2 1 3
direct
0.340 0.886 0.681
0.677 0.558 0.354
0.660 0.114 0.319
0.012 0.221 0.024
0.988 0.779 0.976
0.323 0.442 0.646
0.833 0.666 0.667
0.167 0.334 0.333
0.500 0.000 0.000
0.500 0.500 0.000
0.833 0.169 0.666
0.167 0.831 0.334
```

---

No. 3
Entry from Alexandria via LeMat-Bulk: La8TcPd3I4 after structural relaxation (PBE-GGA).

Calculated values
The calculation puts the density of states at the Fermi level at 0.4480 states/eV per atom. For the total energy, the calculation gives -5.3612 eV per atom. The raw formation energy is -14.2 eV per formula unit. The value obtained for the spin magnetization is 0.0 μB/f.u.

The structure in POSCAR format:
```
La8TcPd3I4
1.0
-6.965 -3.060 -3.995
1.462 -8.634 4.064
-0.708 6.679 5.360
La Tc Pd I
8 1 3 4
direct
0.223 0.690 0.968
0.223 0.690 0.445
0.270 0.312 0.541
0.745 0.690 0.968
0.255 0.310 0.032
0.730 0.688 0.459
0.777 0.310 0.555
0.777 0.310 0.032
0.000 0.500 0.000
0.500 0.500 0.000
0.500 0.500 0.500
0.000 0.500 0.500
0.500 0.000 0.000
0.500 0.000 0.500
0.000 0.000 0.000
0.000 0.000 0.500
```

---

raw formation energy of number 1 (La8Si3PdI4)? -15.6 eV per formula unit

---

What is the formula in the second record? La6Si2PdI3

---

Repeat the third record exactly.
Entry from Alexandria via LeMat-Bulk: La8TcPd3I4 after structural relaxation (PBE-GGA).

Calculated values
The calculation puts the density of states at the Fermi level at 0.4480 states/eV per atom. For the total energy, the calculation gives -5.3612 eV per atom. The raw formation energy is -14.2 eV per formula unit. The value obtained for the spin magnetization is 0.0 μB/f.u.

The structure in POSCAR format:
```
La8TcPd3I4
1.0
-6.965 -3.060 -3.995
1.462 -8.634 4.064
-0.708 6.679 5.360
La Tc Pd I
8 1 3 4
direct
0.223 0.690 0.968
0.223 0.690 0.445
0.270 0.312 0.541
0.745 0.690 0.968
0.255 0.310 0.032
0.730 0.688 0.459
0.777 0.310 0.555
0.777 0.310 0.032
0.000 0.500 0.000
0.500 0.500 0.000
0.500 0.500 0.500
0.000 0.500 0.500
0.500 0.000 0.000
0.500 0.000 0.500
0.000 0.000 0.000
0.000 0.000 0.500
```